(1)
The following is a DFT calculation (PBE) of an optimized crystal structure of Ba16Re6O37.

Calculated values
Space group   C2/m

Lattice parameters (Å, degrees): 10.8800 10.8800 15.9702 93.85 93.85 31.86
With the nearest neighbours (Å) after each atom.
Fractional coordinates of all 59 atoms:
Ba: 0.0000 0.0000 0.0000  6 O 2.51-2.63
Ba: 0.0000 0.0000 0.5000  4 O 2.61-2.76
Ba: 0.0922 0.0922 0.7971  7 O 2.69-2.97
Ba: 0.1826 0.1826 0.0411  7 O 2.72-3.03
Ba: 0.2320 0.2320 0.3992  12 O 2.87-3.09
Ba: 0.2685 0.2685 0.7981  7 O 2.66-2.85
Ba: 0.3942 0.3942 0.6026  8 O 2.76-3.02
Ba: 0.4158 0.4158 0.3554  8 O 2.71-3.00
Ba: 0.4591 0.4591 0.8607  2 O 2.63
Ba: 0.5409 0.5409 0.1393  2 O 2.63
Ba: 0.5842 0.5842 0.6446  8 O 2.71-3.00
Ba: 0.6058 0.6058 0.3974  8 O 2.76-3.02
Ba: 0.7315 0.7315 0.2019  7 O 2.66-2.85
Ba: 0.7680 0.7680 0.6008  12 O 2.87-3.09
Ba: 0.8174 0.8174 0.9589  7 O 2.72-3.03
Ba: 0.9078 0.9078 0.2029  7 O 2.69-2.97
Re: 0.0807 0.0807 0.2630  6 O 1.87-1.95
Re: 0.1733 0.1733 0.6062  6 O 1.88-1.93
Re: 0.3596 0.3596 0.0759  6 O 1.84-1.94
Re: 0.6404 0.6404 0.9241  6 O 1.84-1.94
Re: 0.8267 0.8267 0.3938  6 O 1.88-1.93
Re: 0.9193 0.9193 0.7370  6 O 1.87-1.95
O: 0.0357 0.5911 0.3063  1 Re 1.93
O: 0.0720 0.5225 0.0901  1 Re 1.90
O: 0.0735 0.0735 0.1407  1 Re 1.95
O: 0.0744 0.6080 0.4721  1 Re 1.88
O: 0.0844 0.0844 0.6286  1 Re 1.92
O: 0.0835 0.6280 0.7393  1 Re 1.91
O: 0.0890 0.0890 0.3805  1 Re 1.87
O: 0.1929 0.6521 0.0583  1 Re 1.93
O: 0.2116 0.7562 0.7375  1 Re 1.92
O: 0.2438 0.7884 0.2625  1 Re 1.92
O: 0.2622 0.2622 0.5916  1 Re 1.89
O: 0.3427 0.3427 0.9548  1 Re 1.94
O: 0.3479 0.8071 0.9417  1 Re 1.93
O: 0.3720 0.9165 0.2607  1 Re 1.91
O: 0.3916 0.3916 0.1863  1 Re 1.84
O: 0.3920 0.9256 0.5279  1 Re 1.88
O: 0.4089 0.9643 0.6937  1 Re 1.93
O: 0.4775 0.9280 0.9099  1 Re 1.90
O: 0.5000 0.5000 0.5000  6 Ba 2.81-2.99
O: 0.5225 0.0720 0.0901  1 Re 1.90
O: 0.5911 0.0357 0.3063  1 Re 1.93
O: 0.6080 0.0744 0.4721  1 Re 1.88
O: 0.6084 0.6084 0.8137  1 Re 1.84
O: 0.6280 0.0835 0.7393  1 Re 1.91
O: 0.6521 0.1929 0.0583  1 Re 1.93
O: 0.6573 0.6573 0.0452  1 Re 1.94
O: 0.7378 0.7378 0.4084  1 Re 1.89
O: 0.7562 0.2116 0.7375  1 Re 1.92
O: 0.7884 0.2438 0.2625  1 Re 1.92
O: 0.8071 0.3479 0.9417  1 Re 1.93
O: 0.9110 0.9110 0.6195  1 Re 1.87
O: 0.9165 0.3720 0.2607  1 Re 1.91
O: 0.9156 0.9156 0.3714  1 Re 1.92
O: 0.9256 0.3920 0.5279  1 Re 1.88
O: 0.9265 0.9265 0.8593  1 Re 1.95
O: 0.9280 0.4775 0.9099  1 Re 1.90
O: 0.9643 0.4089 0.6937  1 Re 1.93

(2)
The following is a DFT calculation (PBE) of an optimized crystal structure of CuSiNi2.

Calculated values
Space group   Cmmm

Lattice parameters (Å, degrees): 4.1894 4.1894 2.6256 90.00 90.00 104.64
With the nearest neighbours (Å) after each atom.
Fractional coordinates of all 4 atoms:
Cu: 0.0000 0.0000 0.0000  8 Ni 2.47, 2 Si 2.56, 2 Cu 2.63
Si: 0.5000 0.5000 0.0000  8 Ni 2.47, 2 Cu 2.56, 2 Si 2.63
Ni: 0.0000 0.5000 0.5000  4 Cu 2.47, 4 Si 2.47, 4 Ni 2.56-2.63
Ni: 0.5000 0.0000 0.5000  4 Cu 2.47, 4 Si 2.47, 4 Ni 2.56-2.63

Going through the records in order, we get total energy values of -427.90, -22.25 eV/f.u..